Material: Sm4CdIn2Hg
Method: DFT, PBE-GGA
State: optimized geometry

Lattice parameters (Å, degrees): 9.3731 9.3731 9.3731 33.55 33.55 33.55
Closest atoms and distances in Å follow each position.
Fractional coordinates of all 8 atoms:
Sm  0.1238  0.1238  0.1238  1 Hg 3.28, 4 In 3.29-3.30, 3 Cd 3.32
Sm  0.3738  0.3738  0.3738  3 Hg 3.30, 4 In 3.33-3.34, 1 Cd 3.35
Sm  0.6262  0.6262  0.6262  3 Hg 3.30, 4 In 3.33-3.34, 1 Cd 3.35
Sm  0.8762  0.8762  0.8762  1 Hg 3.28, 4 In 3.29-3.30, 3 Cd 3.32
Cd  0.5000  0.5000  0.5000  8 Sm 3.32-3.35
In  0.2481  0.2481  0.2481  8 Sm 3.29-3.34
In  0.7519  0.7519  0.7519  8 Sm 3.29-3.34
Hg  0.0000  0.0000  0.0000  8 Sm 3.28-3.30

Total energy   -29.146 eV/cell
Calculated formation energy   -3.58 eV/f.u.
Size of the total moment   0.30 μB per cell
Fermi-level density of states   10.1 states/eV/f.u.


Material: CePm2Lu
Method: DFT, PBE-GGA
State: optimized geometry

Lattice parameters (Å, degrees): 5.0465 5.0465 5.0185 90.00 90.00 90.00
Closest atoms and distances in Å follow each position.
Fractional coordinates of all 4 atoms:
Ce  0.0000  0.0000  0.0000  8 Pm 3.56, 4 Lu 3.57
Pm  0.0000  0.5000  0.5000  4 Ce 3.56, 4 Lu 3.56, 4 Pm 3.57
Pm  0.5000  0.0000  0.5000  4 Ce 3.56, 4 Lu 3.56, 4 Pm 3.57
Lu  0.5000  0.5000  0.0000  8 Pm 3.56, 4 Ce 3.57

Energy relative to the lowest polymorph listed for this composition   3.2 meV/atom
Total energy   -19.669 eV/cell
Calculated formation energy   0.29 eV/f.u.
Size of the total moment   0.66 μB per cell
Fermi-level density of states   7.4 states/eV/f.u.